LiFe2Pb | PBE | relaxed

Summary:
Calculated volume = 15.75 Å³ per atom
Magnetization = 21.4 Bohr magnetons per cell
Electronic total energy = -5.107 eV/atom

Cell lengths 6.316, 6.316, 6.316 Å; angles 90.00, 90.00, 90.00 degrees
Space group Pm-3m (No. 221)
Symmetry-distinct sites (fractional):
1 Li 0.000 0.000 0.000 x1
2 Li 0.000 0.000 0.500 x3
3 Fe 0.207 0.207 0.207 x8
4 Pb 0.000 0.500 0.500 x3
5 Pb 0.500 0.500 0.500 x1